DFT (PBE-GGA) results for a relaxed Mn2NbI crystal.

```
Mn2NbI
1.0
4.1768 0.0000 0.0000
0.0000 4.1768 0.0000
2.0884 2.0884 8.0387
Mn I Nb
4 2 2
direct
0.3750 0.3692 0.7500
0.1192 0.6250 0.2500
0.6308 0.1250 0.2500
0.8750 0.8808 0.7500
0.7500 0.2500 0.5000
0.0000 0.0000 0.0000
0.2500 0.7500 0.5000
0.5000 0.5000 0.0000
```

## Properties
- magnetic moment (μB per cell) = 0.00
- calculated total energy (eV/f.u.) = -25.31